No. 1
First-principles (PBE) data for a geometry-optimized Ce5Ge2Ru structure, as listed in the Alexandria database.

Cell lengths 11.736, 8.785, 7.787 Å; angles 90.00, 90.00, 90.00 degrees
Fractional positions:
Ce: 0.001 0.250 0.019
Ce: 0.068 0.537 0.297
Ce: 0.068 0.963 0.297
Ce: 0.204 0.250 0.626
Ce: 0.211 0.750 0.651
Ce: 0.289 0.250 0.151
Ce: 0.296 0.750 0.126
Ce: 0.432 0.037 0.797
Ce: 0.432 0.463 0.797
Ce: 0.499 0.750 0.519
Ce: 0.501 0.250 0.481
Ce: 0.568 0.537 0.203
Ce: 0.568 0.963 0.203
Ce: 0.704 0.250 0.874
Ce: 0.711 0.750 0.849
Ce: 0.789 0.250 0.349
Ce: 0.796 0.750 0.374
Ce: 0.932 0.037 0.703
Ce: 0.932 0.463 0.703
Ce: 0.999 0.750 0.981
Ge: 0.173 0.005 0.919
Ge: 0.173 0.495 0.919
Ge: 0.327 0.505 0.419
Ge: 0.327 0.995 0.419
Ge: 0.673 0.005 0.581
Ge: 0.673 0.495 0.581
Ge: 0.827 0.505 0.081
Ge: 0.827 0.995 0.081
Ru: 0.025 0.250 0.415
Ru: 0.475 0.750 0.915
Ru: 0.525 0.250 0.085
Ru: 0.975 0.750 0.585

## Properties
- uncorrected energy (Ry/atom) = -0.4837
- E above lowest polymorph (meV per atom) = 1
- space group = Pnma

No. 2
First-principles (PBE) data for a geometry-optimized LiAg4Sn structure, as listed in the Alexandria database.

Cell lengths 5.552, 5.552, 5.552 Å; angles 60.00, 60.00, 60.00 degrees
Fractional positions:
Li: 0.000 0.000 0.000
Ag: 0.124 0.625 0.625
Ag: 0.625 0.124 0.625
Ag: 0.625 0.625 0.124
Ag: 0.625 0.625 0.625
Sn: 0.250 0.250 0.250

## Properties
- uncorrected energy (Ry/atom) = -0.2149
- E above lowest polymorph (meV per atom) = 16
- space group = F-43m

No. 3
First-principles (PBE) data for a geometry-optimized Sm6GaSe5 structure, as listed in the Alexandria database.

Cell lengths 7.270, 7.270, 7.271 Å; angles 99.56, 99.56, 119.89 degrees
Fractional positions:
Sm: 0.081 0.407 0.745
Sm: 0.244 0.244 0.256
Sm: 0.407 0.081 0.745
Sm: 0.593 0.919 0.255
Sm: 0.756 0.756 0.744
Sm: 0.919 0.593 0.255
Ga: 0.000 0.000 0.500
Se: 0.168 0.832 0.000
Se: 0.333 0.667 0.500
Se: 0.500 0.500 0.000
Se: 0.667 0.333 0.500
Se: 0.832 0.168 0.000

## Properties
- uncorrected energy (Ry/atom) = -0.4201
- space group = C2/m
- energy relative to the elements, uncorrected (eV per atom) = -1.652

No. 4
First-principles (PBE) data for a geometry-optimized LaCd2CuPt2 structure, as listed in the Alexandria database.

Cell lengths 5.402, 5.402, 10.352 Å; angles 90.00, 90.00, 90.00 degrees
Fractional positions:
La: 0.000 0.000 0.000
La: 0.500 0.500 0.500
Cd: 0.000 0.500 0.250
Cd: 0.000 0.500 0.750
Cd: 0.500 0.000 0.250
Cd: 0.500 0.000 0.750
Cu: 0.000 0.000 0.500
Cu: 0.500 0.500 0.000
Pt: 0.000 0.000 0.262
Pt: 0.000 0.000 0.738
Pt: 0.500 0.500 0.238
Pt: 0.500 0.500 0.762

## Properties
- uncorrected energy (Ry/atom) = -0.2941
- space group = I4/mmm

No. 5
First-principles (PBE) data for a geometry-optimized TiReP2F structure, as listed in the Alexandria database.

Cell lengths 4.768, 4.768, 3.683 Å; angles 90.00, 90.00, 90.00 degrees
Fractional positions:
Ti: 0.000 0.000 0.000
Re: 0.500 0.500 0.500
P: 0.000 0.500 0.000
P: 0.500 0.000 0.000
F: 0.000 0.000 0.500

## Properties
- uncorrected energy (Ry/atom) = -0.4882
- space group = P4/mmm
- energy relative to the elements, uncorrected (eV per atom) = -0.035

No. 6
First-principles (PBE) data for a geometry-optimized Ni2As2Au structure, as listed in the Alexandria database.

Cell lengths 7.297, 7.297, 2.857 Å; angles 90.00, 90.00, 90.00 degrees
Fractional positions:
Ni: 0.129 0.371 0.000
Ni: 0.371 0.871 0.000
Ni: 0.629 0.129 0.000
Ni: 0.871 0.629 0.000
As: 0.159 0.659 0.500
As: 0.341 0.159 0.500
As: 0.659 0.841 0.500
As: 0.841 0.341 0.500
Au: 0.000 0.000 0.500
Au: 0.500 0.500 0.500

## Properties
- uncorrected energy (Ry/atom) = -0.3507
- E above lowest polymorph (meV per atom) = 78
- space group = P4/mbm